CaCoGe2O6: relaxed, PBE with a Hubbard U.

Cell lengths 6.851, 6.851, 5.512 Å; angles 101.32, 101.32, 82.75 degrees
Fractional positions:
1 Ca 0.197 0.803 0.750
2 Ca 0.803 0.197 0.250
3 Co 0.408 0.592 0.250
4 Co 0.592 0.408 0.750
5 Ge 0.117 0.314 0.774
6 Ge 0.314 0.117 0.274
7 Ge 0.686 0.883 0.726
8 Ge 0.883 0.686 0.226
9 O 0.111 0.171 0.017
10 O 0.126 0.602 0.345
11 O 0.171 0.111 0.517
12 O 0.299 0.484 0.865
13 O 0.398 0.874 0.155
14 O 0.484 0.299 0.365
15 O 0.516 0.701 0.635
16 O 0.602 0.126 0.845
17 O 0.701 0.516 0.135
18 O 0.829 0.889 0.483
19 O 0.874 0.398 0.655
20 O 0.889 0.829 0.983

Values from the calculation:
- magnetization (μB per atom) = 0.300
- E_tot (eV/atom) = -6.495
- volume (Å³ per cell) = 248